(1)
Below is crystalline NiSbIr3 at its relaxed geometry, with properties calculated at the PBEsol level.

Structure (extended XYZ):
```
5
Lattice="4.447 0.000 0.000 0.000 4.447 0.000 0.000 0.000 4.447" Properties=species:S:1:pos:R:3 pbc="T T T"
Ni 0.000 0.000 0.000
Sb 2.224 2.224 2.224
Ir 0.000 0.000 2.224
Ir 0.000 2.224 0.000
Ir 2.224 0.000 0.000
```

Properties
The value obtained for the total energy is -6.6831 eV per atom. Its energy relative to the elements, uncorrected is 1354 meV per atom. As for the symmetry: Pm-3m, No. 221. Its volume is 88.0 Å³/cell.

(2)
Below is crystalline KPIr at its relaxed geometry, with properties calculated at the PBEsol level.

Structure (extended XYZ):
```
3
Lattice="0.000 3.191 3.191 3.191 0.000 3.191 3.191 3.191 0.000" Properties=species:S:1:pos:R:3 pbc="T T T"
K 0.000 0.000 0.000
P 1.595 1.595 1.595
Ir 4.786 4.786 4.786
```

Properties
The value obtained for the total energy is -3.5498 eV per atom. As for the symmetry: F-43m, No. 216. Its volume is 65.0 Å³/cell. The value obtained for the energy of formation from the pure elements is 2033.0 meV/atom.

Number 1: N(E_F) 9.17 states/eV/cell. Number 2: N(E_F) 2.14 states/eV/cell.